The following is a DFT calculation (GGA-PBE) of a relaxed structure of PmScU.

Structure (POSCAR):
```
PmScU
1.0
-2.6712 1.8362 1.6583
-3.7847 -2.7384 -3.0643
1.1993 -6.4273 5.0515
U Sc Pm
2 2 2
direct
0.7561 0.1556 0.5122
0.2439 0.8444 0.4878
0.5844 0.8338 0.1688
0.4156 0.1662 0.8312
0.9045 0.6673 0.8091
0.0955 0.3327 0.1909
```

Results
density	8.7	g/cm3
formation energy	0.663	eV per formula unit
electronic total energy	-7.236	eV per atom


The following is a DFT calculation (GGA-PBE) of a relaxed structure of PmFe2SiC.

Structure (POSCAR):
```
PmFe2SiC
1.0
3.8675 0.0000 0.0000
-1.9337 5.2508 0.0000
0.0000 0.0000 6.7695
Pm Fe Si C
2 4 2 2
direct
0.4467 0.8933 0.7500
0.5533 0.1067 0.2500
0.1652 0.3304 0.9358
0.8348 0.6696 0.0642
0.1652 0.3304 0.5642
0.8348 0.6696 0.4358
0.7280 0.4559 0.7500
0.2720 0.5441 0.2500
0.0000 0.0000 0.0000
0.0000 0.0000 0.5000
```

Results
ΔE_f (raw)	-0.45	eV/atom
density	7.2	g/cm3
electronic total energy	-7.714	eV per atom


The following is a DFT calculation (GGA-PBE) of a relaxed structure of Rb3Ba2PaO6.

Structure (POSCAR):
```
Rb3Ba2PaO6
1.0
6.7165 -0.0019 -0.0024
-3.3583 5.8167 -0.0024
-1.1224 -1.9435 6.5851
Rb Ba Pa O
3 2 1 6
direct
0.1620 0.8380 0.5000
0.8380 0.1620 0.5000
0.5000 0.5000 0.5000
0.3331 0.6669 0.0000
0.6669 0.3331 0.0000
0.0000 0.0000 0.0000
0.9376 0.6610 0.8132
0.7847 0.7847 0.1861
0.0624 0.3390 0.1868
0.6610 0.9376 0.8132
0.2153 0.2153 0.8139
0.3390 0.0624 0.1868
```

Results
ΔE_f (raw)	-2.49	eV/atom
density	5.5	g/cm3
electronic total energy	-6.322	eV per atom


The following is a DFT calculation (GGA-PBE) of a relaxed structure of Rb3TcCl8.

Structure (POSCAR):
```
Rb3TcCl8
1.0
-7.2177 -0.7758 5.1678
0.8037 -9.9045 -0.3643
4.6001 5.1004 7.1905
Rb Tc Cl
6 2 16
direct
0.7061 0.6966 0.8483
0.7061 0.1517 0.3034
0.7061 0.1517 0.8483
0.2061 0.3034 0.1517
0.2061 0.8483 0.6966
0.2061 0.8483 0.1517
0.1474 0.3333 0.6667
0.6474 0.6667 0.3333
0.9960 0.1120 0.5560
0.9960 0.4440 0.8880
0.9960 0.4440 0.5560
0.4960 0.8880 0.4440
0.4960 0.5560 0.1120
0.4960 0.5560 0.4440
0.8013 0.4431 0.2216
0.8013 0.7784 0.5569
0.8013 0.7784 0.2216
0.3013 0.5569 0.7784
0.3013 0.2216 0.4431
0.3013 0.2216 0.7784
0.6538 0.3333 0.6667
0.1538 0.6667 0.3333
0.9617 0.0000 0.0000
0.4617 0.0000 0.0000
```

Results
ΔE_f (raw)	-1.27	eV/atom
density	2.8	g/cm3
ΔE to the lowest computed polymorph	0	meV per atom
electronic total energy	-3.604	eV per atom


The following is a DFT calculation (GGA-PBE) of a relaxed structure of CoTcAu2.

Structure (POSCAR):
```
CoTcAu2
1.0
4.7942 0.0101 0.0000
1.4412 4.5725 0.0000
-3.1177 -2.2913 2.8310
Au Co Tc
2 1 1
direct
0.0000 0.0000 0.0000
0.2500 0.7500 0.5000
0.5000 0.5000 0.0000
0.7500 0.2500 0.5000
```

Results
density	14.7	g/cm3
formation energy	1.675	eV per formula unit
ΔE to the lowest computed polymorph	260	meV per atom
electronic total energy	-5.588	eV per atom


The following is a DFT calculation (GGA-PBE) of a relaxed structure of GaSnP.

Structure (POSCAR):
```
GaSnP
1.0
-3.9008 2.9233 5.2217
-3.1568 0.0059 -2.3616
-0.2576 -11.4847 0.3154
Ga Sn P
4 4 4
direct
0.0686 0.0000 0.6777
0.0686 0.5000 0.1777
0.2414 0.0000 0.5221
0.2414 0.5000 0.0221
0.5502 0.0000 0.2117
0.5502 0.5000 0.7117
0.6430 0.0000 0.9121
0.6430 0.5000 0.4121
0.2716 0.0000 0.9038
0.2716 0.5000 0.4038
0.8611 0.0000 0.1479
0.8611 0.5000 0.6479
```

Results
density	4.9	g/cm3
formation energy	-0.095	eV per formula unit
ΔE to the lowest computed polymorph	46	meV per atom
electronic total energy	-4.178	eV per atom


| no. | total magnetization (μB per formula unit) |
| --- | --- |
| 1 | 0.91 |
| 2 | 0.58 |
| 3 | 0.00 |
| 4 | 2.00 |
| 5 | 3.05 |
| 6 | 0.00 |